1.
VASP calculation (PBE) on a geometry-optimized PrErSc2In4 structure. Values from VASP.

Computed properties:
V = 202.5 Å³/cell
DFT formation energy = -418 meV/atom
VASP energy = -4.538 eV per atom
DOS at the Fermi energy = 0.59 states/eV/atom

The structure in Quantum ESPRESSO input format:
```
&SYSTEM
  ibrav = 0, nat = 8, ntyp = 4
/
ATOMIC_SPECIES
Pr 140.91 Pr.upf
Er 167.26 Er.upf
Sc 44.96 Sc.upf
In 114.82 In.upf
CELL_PARAMETERS angstrom
2.612 1.508 8.566
-2.612 1.508 8.566
0.000 -3.016 8.566
ATOMIC_POSITIONS crystal
Pr 0.000 0.000 0.000
Er 0.500 0.500 0.500
Sc 0.249 0.249 0.249
Sc 0.751 0.751 0.751
In 0.127 0.127 0.127
In 0.378 0.378 0.378
In 0.622 0.622 0.622
In 0.873 0.873 0.873
```

2.
VASP calculation (PBE) on a geometry-optimized PrErInSn structure. Values from VASP.

Computed properties:
V = 449.4 Å³/cell
DFT formation energy = -497 meV/atom
VASP energy = -4.518 eV per atom
DOS at the Fermi energy = 0.88 states/eV/atom

The structure in Quantum ESPRESSO input format:
```
&SYSTEM
  ibrav = 0, nat = 16, ntyp = 4
/
ATOMIC_SPECIES
Pr 140.91 Pr.upf
Er 167.26 Er.upf
In 114.82 In.upf
Sn 118.71 Sn.upf
CELL_PARAMETERS angstrom
7.660 0.000 0.000
0.000 7.660 0.000
0.000 0.000 7.660
ATOMIC_POSITIONS crystal
Pr 0.000 0.000 0.000
Pr 0.000 0.500 0.500
Pr 0.500 0.000 0.500
Pr 0.500 0.500 0.000
Er 0.000 0.000 0.500
Er 0.000 0.500 0.000
Er 0.500 0.000 0.000
Er 0.500 0.500 0.500
In 0.250 0.250 0.750
In 0.250 0.750 0.250
In 0.750 0.250 0.250
In 0.750 0.750 0.750
Sn 0.250 0.250 0.250
Sn 0.250 0.750 0.750
Sn 0.750 0.250 0.750
Sn 0.750 0.750 0.250
```

3.
VASP calculation (PBE) on a geometry-optimized Tb2PrErIn4 structure. Values from VASP.

Computed properties:
V = 218.9 Å³/cell
DFT formation energy = -466 meV/atom
VASP energy = -4.161 eV per atom
DOS at the Fermi energy = 0.44 states/eV/atom

The structure in Quantum ESPRESSO input format:
```
&SYSTEM
  ibrav = 0, nat = 8, ntyp = 4
/
ATOMIC_SPECIES
Tb 158.93 Tb.upf
Pr 140.91 Pr.upf
Er 167.26 Er.upf
In 114.82 In.upf
CELL_PARAMETERS angstrom
2.681 1.548 8.791
-2.681 1.548 8.791
0.000 -3.096 8.791
ATOMIC_POSITIONS crystal
Tb 0.249 0.249 0.249
Tb 0.751 0.751 0.751
Pr 0.000 0.000 0.000
Er 0.500 0.500 0.500
In 0.127 0.127 0.127
In 0.377 0.377 0.377
In 0.623 0.623 0.623
In 0.873 0.873 0.873
```

4.
VASP calculation (PBE) on a geometry-optimized Tb6Pr2Er3In structure. Values from VASP.

Computed properties:
V = 374.2 Å³/cell
DFT formation energy = -56 meV/atom
VASP energy = -4.537 eV per atom
DOS at the Fermi energy = 1.28 states/eV/atom

The structure in Quantum ESPRESSO input format:
```
&SYSTEM
  ibrav = 0, nat = 12, ntyp = 4
/
ATOMIC_SPECIES
Tb 158.93 Tb.upf
Pr 140.91 Pr.upf
Er 167.26 Er.upf
In 114.82 In.upf
CELL_PARAMETERS angstrom
3.054 -5.293 0.000
3.054 5.293 0.000
-2.039 0.000 11.574
ATOMIC_POSITIONS crystal
Tb 0.084 0.411 0.752
Tb 0.243 0.243 0.247
Tb 0.411 0.084 0.752
Tb 0.589 0.916 0.248
Tb 0.757 0.757 0.753
Tb 0.916 0.589 0.248
Pr 0.334 0.666 0.500
Pr 0.666 0.334 0.500
Er 0.167 0.833 0.000
Er 0.500 0.500 0.000
Er 0.833 0.167 0.000
In 0.000 0.000 0.500
```

5.
VASP calculation (PBE) on a geometry-optimized TbPrErIn structure. Values from VASP.

Computed properties:
ΔE to the lowest computed polymorph = 59 meV per atom
V = 470.5 Å³/cell
DFT formation energy = -87 meV/atom
VASP energy = -4.265 eV per atom
DOS at the Fermi energy = 1.45 states/eV/atom

The structure in Quantum ESPRESSO input format:
```
&SYSTEM
  ibrav = 0, nat = 16, ntyp = 4
/
ATOMIC_SPECIES
Tb 158.93 Tb.upf
Pr 140.91 Pr.upf
Er 167.26 Er.upf
In 114.82 In.upf
CELL_PARAMETERS angstrom
7.778 0.000 0.000
0.000 7.778 0.000
0.000 0.000 7.778
ATOMIC_POSITIONS crystal
Tb 0.000 0.000 0.000
Tb 0.000 0.500 0.500
Tb 0.500 0.000 0.500
Tb 0.500 0.500 0.000
Pr 0.250 0.250 0.750
Pr 0.250 0.750 0.250
Pr 0.750 0.250 0.250
Pr 0.750 0.750 0.750
Er 0.000 0.000 0.500
Er 0.000 0.500 0.000
Er 0.500 0.000 0.000
Er 0.500 0.500 0.500
In 0.250 0.250 0.250
In 0.250 0.750 0.750
In 0.750 0.250 0.750
In 0.750 0.750 0.250
```

6.
VASP calculation (PBE) on a geometry-optimized Tb3Pr6Er2In structure. Values from VASP.

Computed properties:
V = 394.6 Å³/cell
DFT formation energy = -27 meV/atom
VASP energy = -4.563 eV per atom
DOS at the Fermi energy = 1.21 states/eV/atom

The structure in Quantum ESPRESSO input format:
```
&SYSTEM
  ibrav = 0, nat = 12, ntyp = 4
/
ATOMIC_SPECIES
Tb 158.93 Tb.upf
Pr 140.91 Pr.upf
Er 167.26 Er.upf
In 114.82 In.upf
CELL_PARAMETERS angstrom
3.120 -5.423 0.000
3.120 5.423 0.000
-2.120 0.000 11.659
ATOMIC_POSITIONS crystal
Tb 0.000 0.000 0.000
Tb 0.332 0.668 0.000
Tb 0.668 0.332 0.000
Pr 0.091 0.419 0.254
Pr 0.254 0.254 0.748
Pr 0.419 0.091 0.254
Pr 0.581 0.909 0.746
Pr 0.746 0.746 0.252
Pr 0.909 0.581 0.746
Er 0.166 0.834 0.500
Er 0.834 0.166 0.500
In 0.500 0.500 0.500
```

7.
VASP calculation (PBE) on a geometry-optimized TbPrErIn structure. Values from VASP.

Computed properties:
ΔE to the lowest computed polymorph = 0 meV per atom
V = 474.9 Å³/cell
DFT formation energy = -146 meV/atom
VASP energy = -4.324 eV per atom
DOS at the Fermi energy = 1.59 states/eV/atom

The structure in Quantum ESPRESSO input format:
```
&SYSTEM
  ibrav = 0, nat = 16, ntyp = 4
/
ATOMIC_SPECIES
Tb 158.93 Tb.upf
Pr 140.91 Pr.upf
Er 167.26 Er.upf
In 114.82 In.upf
CELL_PARAMETERS angstrom
7.802 0.000 0.000
0.000 7.802 0.000
0.000 0.000 7.802
ATOMIC_POSITIONS crystal
Tb 0.000 0.000 0.000
Tb 0.000 0.500 0.500
Tb 0.500 0.000 0.500
Tb 0.500 0.500 0.000
Pr 0.000 0.000 0.500
Pr 0.000 0.500 0.000
Pr 0.500 0.000 0.000
Pr 0.500 0.500 0.500
Er 0.250 0.250 0.750
Er 0.250 0.750 0.250
Er 0.750 0.250 0.250
Er 0.750 0.750 0.750
In 0.250 0.250 0.250
In 0.250 0.750 0.750
In 0.750 0.250 0.750
In 0.750 0.750 0.250
```

8.
VASP calculation (PBE) on a geometry-optimized Tb6Pr3Er2In structure. Values from VASP.

Computed properties:
V = 381.4 Å³/cell
DFT formation energy = -33 meV/atom
VASP energy = -4.532 eV per atom
DOS at the Fermi energy = 1.38 states/eV/atom

The structure in Quantum ESPRESSO input format:
```
&SYSTEM
  ibrav = 0, nat = 12, ntyp = 4
/
ATOMIC_SPECIES
Tb 158.93 Tb.upf
Pr 140.91 Pr.upf
Er 167.26 Er.upf
In 114.82 In.upf
CELL_PARAMETERS angstrom
3.091 -5.359 0.000
3.091 5.359 0.000
-2.072 0.000 11.511
ATOMIC_POSITIONS crystal
Tb 0.080 0.407 0.241
Tb 0.247 0.247 0.758
Tb 0.407 0.080 0.241
Tb 0.593 0.920 0.759
Tb 0.753 0.753 0.242
Tb 0.920 0.593 0.759
Pr 0.167 0.833 0.500
Pr 0.500 0.500 0.500
Pr 0.833 0.167 0.500
Er 0.334 0.666 0.000
Er 0.666 0.334 0.000
In 0.000 0.000 0.000
```

9.
VASP calculation (PBE) on a geometry-optimized TbPr2ErIn2 structure. Values from VASP.

Computed properties:
V = 362.3 Å³/cell
DFT formation energy = -347 meV/atom
VASP energy = -4.385 eV per atom
DOS at the Fermi energy = 1.01 states/eV/atom

The structure in Quantum ESPRESSO input format:
```
&SYSTEM
  ibrav = 0, nat = 12, ntyp = 4
/
ATOMIC_SPECIES
Tb 158.93 Tb.upf
Pr 140.91 Pr.upf
Er 167.26 Er.upf
In 114.82 In.upf
CELL_PARAMETERS angstrom
5.266 0.000 0.000
0.000 10.053 0.000
0.000 0.000 6.843
ATOMIC_POSITIONS crystal
Tb 0.000 0.038 0.000
Tb 0.000 0.962 0.500
Pr 0.000 0.319 0.348
Pr 0.000 0.681 0.848
Pr 0.500 0.460 0.070
Pr 0.500 0.540 0.570
Er 0.500 0.177 0.723
Er 0.500 0.823 0.223
In 0.000 0.345 0.823
In 0.000 0.655 0.323
In 0.500 0.133 0.249
In 0.500 0.867 0.749
```

10.
VASP calculation (PBE) on a geometry-optimized PrErIn2Te4 structure. Values from VASP.

Computed properties:
V = 280.6 Å³/cell
VASP energy = -4.393 eV per atom
DOS at the Fermi energy = 0.04 states/eV/atom

The structure in Quantum ESPRESSO input format:
```
&SYSTEM
  ibrav = 0, nat = 8, ntyp = 4
/
ATOMIC_SPECIES
Pr 140.91 Pr.upf
Er 167.26 Er.upf
In 114.82 In.upf
Te 127.60 Te.upf
CELL_PARAMETERS angstrom
7.753 0.000 0.000
0.000 4.466 0.000
-2.570 0.000 8.104
ATOMIC_POSITIONS crystal
Pr 0.000 0.000 0.000
Er 0.500 0.500 0.000
In 0.000 0.500 0.500
In 0.500 0.000 0.500
Te 0.252 0.500 0.226
Te 0.271 0.000 0.780
Te 0.729 0.000 0.220
Te 0.748 0.500 0.774
```

11.
VASP calculation (PBE) on a geometry-optimized PrErThIn structure. Values from VASP.

Computed properties:
V = 475.9 Å³/cell
DFT formation energy = -28 meV/atom
VASP energy = -4.903 eV per atom
DOS at the Fermi energy = 1.52 states/eV/atom

The structure in Quantum ESPRESSO input format:
```
&SYSTEM
  ibrav = 0, nat = 16, ntyp = 4
/
ATOMIC_SPECIES
Pr 140.91 Pr.upf
Er 167.26 Er.upf
Th 232.04 Th.upf
In 114.82 In.upf
CELL_PARAMETERS angstrom
7.807 0.000 0.000
0.000 7.807 0.000
0.000 0.000 7.807
ATOMIC_POSITIONS crystal
Pr 0.000 0.000 0.000
Pr 0.000 0.500 0.500
Pr 0.500 0.000 0.500
Pr 0.500 0.500 0.000
Er 0.000 0.000 0.500
Er 0.000 0.500 0.000
Er 0.500 0.000 0.000
Er 0.500 0.500 0.500
Th 0.250 0.250 0.750
Th 0.250 0.750 0.250
Th 0.750 0.250 0.250
Th 0.750 0.750 0.750
In 0.250 0.250 0.250
In 0.250 0.750 0.750
In 0.750 0.250 0.750
In 0.750 0.750 0.250
```

12.
VASP calculation (PBE) on a geometry-optimized Pr3Er3TlIn2 structure. Values from VASP.

Computed properties:
V = 272.6 Å³/cell
DFT formation energy = -257 meV/atom
VASP energy = -4.243 eV per atom
DOS at the Fermi energy = 1.00 states/eV/atom

The structure in Quantum ESPRESSO input format:
```
&SYSTEM
  ibrav = 0, nat = 9, ntyp = 4
/
ATOMIC_SPECIES
Pr 140.91 Pr.upf
Er 167.26 Er.upf
Tl 204.38 Tl.upf
In 114.82 In.upf
CELL_PARAMETERS angstrom
9.136 0.000 0.000
-4.568 7.912 0.000
0.000 0.000 3.771
ATOMIC_POSITIONS crystal
Pr 0.000 0.710 0.000
Pr 0.290 0.290 0.000
Pr 0.710 0.000 0.000
Er 0.000 0.383 0.500
Er 0.383 0.000 0.500
Er 0.617 0.617 0.500
Tl 0.000 0.000 0.500
In 0.333 0.667 0.000
In 0.667 0.333 0.000
```

Which value of V does entry 2 give? 449.4 Å³/cell

Look up the VASP energy of the first one. -4.538 eV per atom